Material: NdSmZnIn
Method: DFT, PBE
State: relaxed

Computed properties:
Calculated total energy   -3.76 eV per atom
DOS at the Fermi energy   4.769 states/eV/f.u.
Formation energy from the elements   -0.387 eV per atom
Crystal system   cubic
E above lowest polymorph   0.018 eV/atom

Cell and atoms, written as CIF:
```
data_NdSmZnIn
_symmetry_space_group_name_H-M 'F -4 3 m'
_symmetry_Int_Tables_number 216
_symmetry_space_group_name_Hall 'F -4 2 3'
_cell_length_a 7.561
_cell_length_b 7.561
_cell_length_c 7.561
_cell_angle_alpha 90.00
_cell_angle_beta 90.00
_cell_angle_gamma 90.00
loop_
_atom_site_label
_atom_site_type_symbol
_atom_site_fract_x
_atom_site_fract_y
_atom_site_fract_z
Nd1 Nd 0.000 0.000 0.000
Sm1 Sm 0.000 0.000 0.500
Zn1 Zn 0.250 0.250 0.250
In1 In 0.250 0.250 0.750
```

Material: LiSb3
Method: DFT, PBE
State: relaxed

Computed properties:
Uncorrected formation energy   -0.08 kcal/mol of atoms
Calculated total energy   -3.57 eV per atom
DOS at the Fermi energy   2.172 states/eV/f.u.
Crystal system   orthorhombic
E above lowest polymorph   0.132 eV/atom

Cell and atoms, written as CIF:
```
data_LiSb3
_symmetry_space_group_name_H-M 'P m m m'
_symmetry_Int_Tables_number 47
_cell_length_a 3.264
_cell_length_b 4.002
_cell_length_c 7.552
_cell_angle_alpha 90.00
_cell_angle_beta 90.00
_cell_angle_gamma 90.00
loop_
_symmetry_equiv_pos_as_xyz
'x,y,z'
'-x,-y,-z'
'-x,-y,z'
'x,y,-z'
'x,-y,-z'
'-x,y,z'
'-x,y,-z'
'x,-y,z'
loop_
_atom_site_label
_atom_site_type_symbol
_atom_site_fract_x
_atom_site_fract_y
_atom_site_fract_z
Li1 Li 0.000 0.000 0.000
Sb1 Sb 0.000 0.000 0.500
Sb2 Sb 0.500 0.500 0.214
```

Material: Sm2ErTmSc4
Method: DFT, PBE
State: relaxed

Computed properties:
Calculated total energy   -5.41 eV per atom
DOS at the Fermi energy   11.494 states/eV/f.u.
Formation energy from the elements   0.061 eV per atom
Crystal system   monoclinic

Cell and atoms, written as CIF:
```
data_Sm2ErTmSc4
_symmetry_space_group_name_H-M 'P 1 2/m 1'
_symmetry_Int_Tables_number 10
_cell_length_a 5.936
_cell_length_b 3.426
_cell_length_c 11.163
_cell_angle_alpha 90.00
_cell_angle_beta 100.06
_cell_angle_gamma 90.00
loop_
_symmetry_equiv_pos_as_xyz
'x,y,z'
'-x,-y,-z'
'-x,y,-z'
'x,-y,z'
loop_
_atom_site_label
_atom_site_type_symbol
_atom_site_fract_x
_atom_site_fract_y
_atom_site_fract_z
Sm1 Sm 0.000 0.000 0.000
Sm2 Sm 0.000 0.500 0.500
Er1 Er 0.500 0.000 0.500
Tm1 Tm 0.500 0.500 0.000
Sc1 Sc 0.251 0.500 0.250
Sc2 Sc 0.252 0.000 0.750
```

Material: Ac7Rh4Se
Method: DFT, PBE
State: relaxed

Computed properties:
Uncorrected formation energy   -19.06 kcal/mol of atoms
Calculated total energy   -5.96 eV per atom
DOS at the Fermi energy   6.475 states/eV/f.u.
Crystal system   trigonal

Cell and atoms, written as CIF:
```
data_Ac7Rh4Se
_symmetry_space_group_name_H-M 'P -3 m 1'
_symmetry_Int_Tables_number 164
_symmetry_space_group_name_Hall '-P 3 2"'
_cell_length_a 4.3321
_cell_length_b 4.3321
_cell_length_c 24.8417
_cell_angle_alpha 90.00
_cell_angle_beta 90.00
_cell_angle_gamma 120.00
loop_
_atom_site_label
_atom_site_type_symbol
_atom_site_fract_x
_atom_site_fract_y
_atom_site_fract_z
Ac1 Ac 0.0000 0.0000 0.0000
Ac2 Ac 0.0000 0.0000 0.2813
Ac3 Ac 0.3333 0.6667 0.1343
Ac4 Ac 0.3333 0.6667 0.4149
Rh1 Rh 0.3333 0.6667 0.6566
Rh2 Rh 0.3333 0.6667 0.9263
Se1 Se 0.0000 0.0000 0.5000
```

Question: Among the records above, which one has the lowest calculated total energy?
Answer: Ac7Rh4Se

Repeat the first record exactly.
Material: NdSmZnIn
Method: DFT, PBE
State: relaxed

Computed properties:
Calculated total energy   -3.76 eV per atom
DOS at the Fermi energy   4.769 states/eV/f.u.
Formation energy from the elements   -0.387 eV per atom
Crystal system   cubic
E above lowest polymorph   0.018 eV/atom

Cell and atoms, written as CIF:
```
data_NdSmZnIn
_symmetry_space_group_name_H-M 'F -4 3 m'
_symmetry_Int_Tables_number 216
_symmetry_space_group_name_Hall 'F -4 2 3'
_cell_length_a 7.561
_cell_length_b 7.561
_cell_length_c 7.561
_cell_angle_alpha 90.00
_cell_angle_beta 90.00
_cell_angle_gamma 90.00
loop_
_atom_site_label
_atom_site_type_symbol
_atom_site_fract_x
_atom_site_fract_y
_atom_site_fract_z
Nd1 Nd 0.000 0.000 0.000
Sm1 Sm 0.000 0.000 0.500
Zn1 Zn 0.250 0.250 0.250
In1 In 0.250 0.250 0.750
```

Question: Which formula does entry 1 have?
Answer: NdSmZnIn

Question: Which value of DOS at the Fermi energy does entry 2 give?
Answer: 2.172 states/eV/f.u.